Entry 1:
An optimized crystal structure of SmPaTe2N, computed with PBE.

Output
* mass density: 7.87 g/cm3
* formation energy without anion corrections: -1.429 eV per atom
* E: -7.193 eV per atom
* spin magnetization: 1.5 Bohr magnetons per cell
* symmetry: P4/nmm, No. 129
* N(E_F): 0.842 states/eV per atom

```
SmPaTe2N
1.0
4.102 0.000 0.000
0.000 4.102 0.000
0.000 0.000 16.321
Te Sm N Pa
4 2 2 2
Direct
0.500 0.000 0.920
0.000 0.500 0.080
0.500 0.000 0.324
0.000 0.500 0.676
0.000 0.500 0.863
0.500 0.000 0.137
0.500 0.500 0.500
0.000 0.000 0.500
0.000 0.500 0.433
0.500 0.000 0.567
```

***

Entry 2:
An optimized crystal structure of Sm2PaTe2N2, computed with PBE.

Output
* mass density: 8.36 g/cm3
* formation energy without anion corrections: -1.354 eV per atom
* E: -7.335 eV per atom
* spin magnetization: 0.0 Bohr magnetons per cell
* symmetry: I4/mmm, No. 139
* N(E_F): 0.603 states/eV per atom

```
Sm2PaTe2N2
1.0
-0.866 3.707 -2.253
0.360 -2.229 -3.805
-7.832 -2.475 3.281
N Te Pa Sm
2 2 1 2
Direct
0.500 0.000 0.000
0.000 0.500 0.000
0.814 0.814 0.629
0.186 0.186 0.371
0.000 0.000 0.000
0.395 0.395 0.790
0.605 0.605 0.210
```

***

Entry 3:
An optimized crystal structure of Sm3Pa3TiN8, computed with PBE.

Output
* mass density: 9.25 g/cm3
* formation energy without anion corrections: -1.490 eV per atom
* E: -9.300 eV per atom
* spin magnetization: 0.0 Bohr magnetons per cell
* symmetry: R-3m, No. 166
* N(E_F): 0.387 states/eV per atom

```
Sm3Pa3TiN8
1.0
6.883 0.000 0.000
-3.442 5.961 -0.021
0.000 -3.954 5.720
Pa N Sm Ti
3 8 3 1
Direct
0.000 0.500 0.500
0.500 0.000 0.500
0.500 0.500 0.500
0.222 0.445 0.701
0.778 0.555 0.299
0.257 0.514 0.271
0.222 0.978 0.701
0.778 0.022 0.299
0.743 0.486 0.729
0.244 0.022 0.299
0.756 0.978 0.701
0.500 0.500 0.000
0.000 0.500 0.000
0.000 0.000 0.000
0.000 0.000 0.500
```

***

Entry 4:
An optimized crystal structure of SmTm2PaN4, computed with PBE.

Output
* mass density: 10.88 g/cm3
* formation energy without anion corrections: -1.686 eV per atom
* E: -8.744 eV per atom
* spin magnetization: 0.0 Bohr magnetons per cell
* symmetry: P2/m, No. 10
* N(E_F): 0.424 states/eV per atom

```
SmTm2PaN4
1.0
-1.619 1.278 -2.804
-5.228 -2.166 2.031
0.770 5.556 2.089
Tm N Sm Pa
2 4 1 1
Direct
0.000 0.500 0.500
0.500 0.000 0.500
0.000 0.231 0.748
0.500 0.759 0.747
0.500 0.241 0.253
0.000 0.769 0.252
0.500 0.500 0.000
0.000 0.000 0.000
```

***

Entry 5:
An optimized crystal structure of Sm3TmPa2N6, computed with PBE.

Output
* mass density: 10.41 g/cm3
* formation energy without anion corrections: -1.644 eV per atom
* E: -8.941 eV per atom
* spin magnetization: 0.0 Bohr magnetons per cell
* symmetry: C2/m, No. 12
* N(E_F): 0.422 states/eV per atom

```
Sm3TmPa2N6
1.0
-0.137 -5.478 2.666
4.248 4.065 1.600
-4.895 2.547 2.667
N Pa Sm Tm
6 2 3 1
Direct
0.074 0.416 0.222
0.416 0.074 0.222
0.266 0.266 0.776
0.926 0.584 0.778
0.584 0.926 0.778
0.734 0.734 0.224
0.333 0.667 0.000
0.667 0.333 0.000
0.834 0.166 0.500
0.166 0.834 0.500
0.500 0.500 0.500
0.000 0.000 0.000
```

***

Entry 6:
An optimized crystal structure of Sm3UPa2N6, computed with PBE.

Output
* mass density: 11.02 g/cm3
* formation energy without anion corrections: -1.547 eV per atom
* E: -9.412 eV per atom
* spin magnetization: 0.0 Bohr magnetons per cell
* symmetry: C2/m, No. 12
* N(E_F): 0.595 states/eV per atom

```
Sm3UPa2N6
1.0
-5.347 -2.829 0.892
5.182 -3.240 -0.164
0.650 2.689 5.436
Sm N Pa U
3 6 2 1
Direct
0.833 0.167 0.500
0.500 0.500 0.500
0.167 0.833 0.500
0.927 0.601 0.782
0.747 0.747 0.219
0.601 0.927 0.782
0.399 0.073 0.218
0.253 0.253 0.781
0.073 0.399 0.218
0.667 0.333 0.000
0.333 0.667 0.000
0.000 0.000 0.000
```

***

Entry 7:
An optimized crystal structure of Sm2UPaN6, computed with PBE.

Output
* mass density: 9.29 g/cm3
* formation energy without anion corrections: -1.348 eV per atom
* E: -9.366 eV per atom
* spin magnetization: 0.0 Bohr magnetons per cell
* symmetry: R3, No. 146
* N(E_F): 0.769 states/eV per atom

```
Sm2UPaN6
1.0
-5.103 -0.955 2.990
-2.299 -5.524 0.315
0.094 -2.991 5.209
N U Sm Pa
6 1 2 1
Direct
0.104 0.453 0.779
0.453 0.664 0.779
0.966 0.591 0.272
0.591 0.172 0.272
0.172 0.966 0.271
0.664 0.104 0.779
0.314 0.314 0.057
0.043 0.043 0.872
0.543 0.543 0.370
0.812 0.812 0.564
```

***

Entry 8:
An optimized crystal structure of SmPaVN4, computed with PBE.

Output
* mass density: 7.98 g/cm3
* formation energy without anion corrections: -1.215 eV per atom
* E: -9.305 eV per atom
* spin magnetization: 0.0 Bohr magnetons per cell
* symmetry: P2_1/m, No. 11
* N(E_F): 0.683 states/eV per atom

```
SmPaVN4
1.0
5.809 0.000 0.071
0.000 5.474 0.000
-2.190 0.000 6.369
N Pa Sm V
8 2 2 2
Direct
0.448 0.750 0.148
0.978 0.498 0.724
0.022 0.998 0.276
0.442 0.750 0.570
0.022 0.502 0.276
0.978 0.002 0.724
0.552 0.250 0.852
0.558 0.250 0.430
0.781 0.750 0.447
0.219 0.250 0.553
0.708 0.750 0.927
0.292 0.250 0.073
0.763 0.250 0.695
0.237 0.750 0.305
```

***

Entry 9:
An optimized crystal structure of SmPaW2N6, computed with PBE.

Output
* mass density: 9.20 g/cm3
* formation energy without anion corrections: -0.918 eV per atom
* E: -9.926 eV per atom
* spin magnetization: 0.0 Bohr magnetons per cell
* symmetry: C2/c, No. 15
* N(E_F): 0.464 states/eV per atom

```
SmPaW2N6
1.0
6.150 -0.162 -0.168
1.791 6.946 0.329
1.791 0.071 6.953
N Sm W Pa
12 2 4 2
Direct
0.499 0.606 0.669
0.999 0.669 0.606
0.001 0.331 0.394
0.895 0.367 0.873
0.343 0.237 0.995
0.105 0.633 0.127
0.395 0.873 0.367
0.605 0.127 0.633
0.157 0.005 0.763
0.843 0.995 0.237
0.501 0.394 0.331
0.657 0.763 0.005
0.750 0.089 0.911
0.250 0.911 0.089
0.755 0.203 0.392
0.255 0.392 0.203
0.745 0.608 0.797
0.245 0.797 0.608
0.250 0.315 0.685
0.750 0.685 0.315
```

***

Entry 10:
An optimized crystal structure of Sm2YPaN4, computed with PBE.

Output
* mass density: 9.00 g/cm3
* formation energy without anion corrections: -1.624 eV per atom
* E: -8.962 eV per atom
* spin magnetization: 0.0 Bohr magnetons per cell
* symmetry: P2/m, No. 10
* N(E_F): 0.462 states/eV per atom

```
Sm2YPaN4
1.0
-0.338 -1.403 -3.240
6.042 0.122 -0.682
-1.633 -5.357 2.489
N Sm Pa Y
4 2 1 1
Direct
0.000 0.242 0.770
0.500 0.766 0.772
0.500 0.234 0.228
0.000 0.758 0.230
0.500 0.000 0.500
0.000 0.500 0.500
0.000 0.000 0.000
0.500 0.500 0.000
```

***

Entry 11:
An optimized crystal structure of SmPa2ZnN5, computed with PBE.

Output
* mass density: 9.33 g/cm3
* formation energy without anion corrections: -1.170 eV per atom
* E: -8.571 eV per atom
* spin magnetization: 0.0 Bohr magnetons per cell
* symmetry: Cmc2_1, No. 36

```
SmPa2ZnN5
1.0
-0.289 0.185 -3.513
1.048 -6.786 1.329
-11.011 -1.538 0.825
N Pa Zn Sm
10 4 2 2
Direct
0.984 0.968 0.587
0.016 0.032 0.087
0.525 0.051 0.322
0.710 0.420 0.809
0.318 0.636 0.645
0.668 0.337 0.552
0.290 0.580 0.309
0.332 0.663 0.052
0.475 0.949 0.822
0.682 0.364 0.145
0.889 0.779 0.760
0.157 0.314 0.672
0.843 0.686 0.172
0.111 0.221 0.260
0.523 0.047 0.504
0.477 0.953 0.004
0.827 0.653 0.473
0.173 0.347 0.973
```

***

Entry 12:
An optimized crystal structure of PaSnN, computed with PBE.

Output
* mass density: 9.41 g/cm3
* formation energy without anion corrections: -1.064 eV per atom
* E: -8.339 eV per atom
* spin magnetization: 0.5 Bohr magnetons per cell
* symmetry: P4/nmm, No. 129
* N(E_F): 0.986 states/eV per atom

```
PaSnN
1.0
4.151 0.000 0.000
0.000 4.151 0.000
0.000 0.000 7.449
N Sn Pa
2 2 2
Direct
0.750 0.250 0.000
0.250 0.750 0.000
0.750 0.250 0.500
0.250 0.750 0.500
0.250 0.250 0.143
0.750 0.750 0.857
```

***

Entry 13:
An optimized crystal structure of Pa3Sn5N12, computed with PBE.

Output
* mass density: 8.59 g/cm3
* formation energy without anion corrections: -0.353 eV per atom
* E: -7.774 eV per atom
* spin magnetization: 0.0 Bohr magnetons per cell
* symmetry: Ia-3d, No. 230
* N(E_F): 0.611 states/eV per atom

```
Pa3Sn5N12
1.0
-9.137 3.105 -5.970
-1.042 -10.856 3.138
0.887 6.538 9.233
Pa Sn N
12 20 48
Direct
0.375 0.750 0.625
0.125 0.250 0.875
0.250 0.125 0.375
0.750 0.375 0.125
0.125 0.875 0.750
0.625 0.375 0.750
0.375 0.625 0.250
0.875 0.750 0.125
0.250 0.625 0.875
0.750 0.875 0.625
0.875 0.125 0.250
0.625 0.250 0.375
0.000 0.500 0.500
0.875 0.250 0.625
0.250 0.875 0.125
0.500 0.500 0.500
0.875 0.625 0.750
0.000 0.000 0.000
0.750 0.625 0.375
0.000 0.000 0.500
0.375 0.250 0.125
0.625 0.875 0.250
0.500 0.500 0.000
0.500 0.000 0.500
0.125 0.375 0.250
0.625 0.750 0.875
0.250 0.375 0.625
0.750 0.125 0.875
0.375 0.125 0.750
0.000 0.500 0.000
0.125 0.750 0.375
0.500 0.000 0.000
0.283 0.866 0.955
0.827 0.911 0.045
0.411 0.045 0.327
0.366 0.411 0.083
0.217 0.545 0.634
0.134 0.717 0.545
0.634 0.589 0.917
0.917 0.827 0.783
0.717 0.583 0.173
0.411 0.366 0.583
0.083 0.911 0.366
0.417 0.283 0.327
0.173 0.083 0.717
0.327 0.545 0.411
0.545 0.327 0.911
0.583 0.717 0.673
0.955 0.366 0.283
0.327 0.783 0.417
0.455 0.673 0.089
0.911 0.083 0.866
0.866 0.583 0.911
0.589 0.634 0.417
0.455 0.783 0.866
0.673 0.217 0.583
0.089 0.917 0.134
0.089 0.173 0.455
0.911 0.827 0.545
0.589 0.955 0.673
0.673 0.455 0.589
0.827 0.917 0.283
0.866 0.283 0.455
0.955 0.589 0.173
0.783 0.455 0.366
0.717 0.134 0.045
0.917 0.089 0.634
0.783 0.327 0.917
0.134 0.417 0.089
0.417 0.134 0.589
0.045 0.411 0.827
0.173 0.089 0.955
0.217 0.673 0.083
0.545 0.217 0.134
0.045 0.634 0.717
0.083 0.173 0.217
0.283 0.417 0.827
0.366 0.955 0.783
0.634 0.045 0.217
0.583 0.866 0.411
```

***

Entry 14:
An optimized crystal structure of Pa3SnN6, computed with PBE.

Output
* mass density: 10.13 g/cm3
* formation energy without anion corrections: -1.226 eV per atom
* E: -9.470 eV per atom
* spin magnetization: 0.0 Bohr magnetons per cell
* symmetry: Cmc2_1, No. 36
* N(E_F): 0.239 states/eV per atom

```
Pa3SnN6
1.0
-1.961 3.944 -3.554
0.178 -4.829 -5.458
-6.714 -0.914 2.690
N Pa Sn
12 6 2
Direct
0.693 0.325 0.358
0.253 0.021 0.979
0.113 0.778 0.222
0.193 0.431 0.895
0.613 0.222 0.778
0.693 0.895 0.431
0.753 0.979 0.021
0.693 0.569 0.105
0.193 0.675 0.642
0.693 0.642 0.675
0.193 0.358 0.325
0.193 0.105 0.569
0.470 0.306 0.086
0.970 0.086 0.306
0.970 0.694 0.914
0.917 0.605 0.395
0.417 0.395 0.605
0.470 0.914 0.694
0.490 0.829 0.171
0.990 0.171 0.829
```

***

Entry 15:
An optimized crystal structure of Pa6SnN12, computed with PBE.

Output
* mass density: 10.06 g/cm3
* formation energy without anion corrections: -1.288 eV per atom
* E: -9.756 eV per atom
* spin magnetization: 0.0 Bohr magnetons per cell
* symmetry: R-3, No. 148
* N(E_F): 0.823 states/eV per atom

```
Pa6SnN12
1.0
6.501 0.164 -1.206
-1.479 6.332 -1.206
0.126 0.164 6.610
N Pa Sn
12 6 1
Direct
0.937 0.681 0.067
0.681 0.067 0.937
0.063 0.319 0.933
0.436 0.176 0.593
0.176 0.593 0.436
0.067 0.937 0.681
0.593 0.436 0.176
0.319 0.933 0.063
0.564 0.824 0.407
0.407 0.564 0.824
0.824 0.407 0.564
0.933 0.063 0.319
0.706 0.402 0.863
0.402 0.863 0.706
0.863 0.706 0.402
0.598 0.137 0.294
0.137 0.294 0.598
0.294 0.598 0.137
0.000 0.000 0.000
```

***

Entry 16:
An optimized crystal structure of Pa2SnN, computed with PBE.

Output
* mass density: 10.17 g/cm3
* formation energy without anion corrections: -0.195 eV per atom
* E: -8.025 eV per atom
* spin magnetization: 0.0 Bohr magnetons per cell
* symmetry: R-3m, No. 166
* N(E_F): 1.724 states/eV per atom

```
Pa2SnN
1.0
3.452 0.000 0.000
1.726 2.989 0.000
1.726 0.996 9.410
Pa N Sn
2 1 1
Direct
0.929 0.929 0.214
0.071 0.071 0.786
0.000 0.000 0.000
0.500 0.500 0.500
```

***

Entry 17:
An optimized crystal structure of Pa2SnN, computed with PBE.

Output
* mass density: 10.93 g/cm3
* formation energy without anion corrections: -0.736 eV per atom
* E: -8.566 eV per atom
* spin magnetization: 2.5 Bohr magnetons per cell
* symmetry: C2/m, No. 12
* N(E_F): 2.068 states/eV per atom

```
Pa2SnN
1.0
4.521 0.000 -0.004
0.000 4.521 -0.004
0.002 0.002 8.838
Sn Pa N
2 4 2
Direct
0.750 0.750 0.211
0.250 0.250 0.789
0.250 0.250 0.153
0.250 0.750 0.500
0.750 0.750 0.847
0.750 0.250 0.500
0.250 0.250 0.399
0.750 0.750 0.601
```

***

Entry 18:
An optimized crystal structure of PaSnN, computed with PBE.

Output
* mass density: 9.40 g/cm3
* formation energy without anion corrections: -0.693 eV per atom
* E: -7.968 eV per atom
* spin magnetization: 0.0 Bohr magnetons per cell
* symmetry: I4mm, No. 107
* N(E_F): 0.936 states/eV per atom

```
PaSnN
1.0
3.193 0.000 0.000
0.000 3.193 0.000
-1.597 -1.597 6.304
Sn Pa N
1 1 1
Direct
0.001 0.001 0.001
0.729 0.729 0.458
0.271 0.271 0.541
```